Li2ZnSb2 | PBE | relaxed

Unit cell a=8.1892 b=8.1892 c=3.1988 alpha=90.00 beta=90.00 gamma=90.00
Closest atoms and distances in Å follow each position.
Fractional positions:
Li1 0.1163 0.3837 0.0000  1 Li 2.69, 6 Sb 2.82-2.98
Li2 0.3837 0.8837 0.0000  1 Li 2.69, 6 Sb 2.82-2.98
Li3 0.6163 0.1163 0.0000  1 Li 2.69, 6 Sb 2.82-2.98
Li4 0.8837 0.6163 0.0000  1 Li 2.69, 6 Sb 2.82-2.98
Zn1 0.0000 0.0000 0.5000  4 Sb 3.00, 2 Zn 3.20
Zn2 0.5000 0.5000 0.5000  4 Sb 3.00, 2 Zn 3.20
Sb1 0.1834 0.6834 0.5000  6 Li 2.82-2.98, 2 Zn 3.00
Sb2 0.3166 0.1834 0.5000  6 Li 2.82-2.98, 2 Zn 3.00
Sb3 0.6834 0.8166 0.5000  6 Li 2.82-2.98, 2 Zn 3.00
Sb4 0.8166 0.3166 0.5000  6 Li 2.82-2.98, 2 Zn 3.00

Computed properties:
The energy above the most stable polymorph in this dataset is 46.5 kJ/mol of formula units. The space-group type is P4/mbm. The density of states at the Fermi level comes out at 0.3288 states/eV per atom. The value obtained for the total energy is -2.883 eV/atom. For the uncorrected formation energy, the calculation gives -103 kJ/mol of formula units.